The following is a GGA-PBE calculation of an optimized crystal structure of SmY2Hg, from Alexandria via LeMat-Bulk.

## Properties
DOS at the Fermi energy, states/eV/f.u.: 4.295
E_form, eV per formula unit: -1.0
Relative energy among the computed polymorphs, eV/atom: 0.000

abc: 3.6331 3.6331 8.9529
angles: 90.00 90.00 90.00
Space group P4/mmm (No. 123)
Inequivalent atoms, fractional coordinates:
1 Sm 0.0000 0.0000 0.0000 [1 per cell]
2 Y 0.5000 0.5000 0.2815 [2 per cell]
3 Hg 0.0000 0.0000 0.5000 [1 per cell]